VASP calculation (meta-GGA SCAN) on a crystal of Ag3Hg relaxed with PBEsol.

Computed properties:
For the formation energy from the elements, the calculation gives 0.02 eV per atom. As for the electronic total energy: -40.551 eV per atom.

Lattice parameters (Å, degrees): 4.119 4.119 4.119 90.00 90.00 90.00
Positions (direct):
1 Ag 0.000 0.000 0.500
2 Ag 0.500 0.000 0.000
3 Hg 0.500 0.500 0.500
4 Ag 0.000 0.500 0.000